[1]
BaNdGe (GGA-PBE, optimized geometry); size of the total moment = 0.0 μB per cell; formation energy = -0.3741 eV per atom; VASP energy = -12.4 eV/cell
1.0
4.998 0.000 0.000
0.000 5.028 0.000
0.000 -2.514 4.354
Nd Ba Ge
1 1 1
Direct
0.201 0.333 0.667
0.685 0.667 0.333
0.113 0.000 0.000


[2]
MgZrTcNi (GGA-PBE, optimized geometry); size of the total moment = 0.0 μB per cell; formation energy = -0.0867 eV per atom; VASP energy = -26.6 eV/cell
1.0
-3.947 1.120 -1.861
-3.608 0.683 2.610
-1.641 4.162 0.531
Ni Tc Mg Zr
1 1 1 1
Direct
0.000 0.000 0.000
0.500 0.500 0.500
0.250 0.250 0.250
0.750 0.750 0.750


[3]
MgTiGa2O6 (GGA-PBE, optimized geometry); formation energy without anion corrections = -2.3491 eV per atom; size of the total moment = 0.0 μB per cell; VASP energy = -68.8 eV/cell
1.0
-1.727 4.383 -1.919
-4.961 0.576 -0.962
-2.868 3.266 3.300
O Ti Ga Mg
6 1 2 1
Direct
0.601 0.230 0.247
0.403 0.716 0.756
0.230 0.922 0.247
0.922 0.601 0.247
0.716 0.125 0.756
0.125 0.403 0.756
0.310 0.310 0.070
0.518 0.518 0.446
0.026 0.026 0.922
0.810 0.810 0.569


[4]
LiTm2Pd (GGA-PBE, optimized geometry); size of the total moment = 0.0 μB per cell; formation energy = -0.4328 eV per atom; VASP energy = -17.8 eV/cell
1.0
3.595 0.000 0.000
0.000 4.885 0.000
0.000 0.000 4.885
Pd Li Tm
1 1 2
Direct
0.500 0.500 0.500
0.500 0.000 0.000
0.000 0.000 0.500
0.000 0.500 0.000


> Among the records above, which one has the highest VASP energy?

BaNdGe


> VASP energy of number 4 (LiTm2Pd)?

-17.8 eV/cell


> size of the total moment of number 1 (BaNdGe)?

0.0 μB per cell